Cd2In3, optimized geometry, DFT PBEsol; E_form = 0.084 eV per atom; total DFT energy (no corrections) = -2.18 eV per atom; ΔE to the lowest computed polymorph = 0.048 eV/atom
1.0
4.6572 0.0000 0.0000
-2.3286 4.0332 0.0000
0.0000 0.0000 6.8339
Cd In
2 3
direct
0.3333 0.6667 0.3152
0.6667 0.3333 0.6848
0.0000 0.0000 0.5000
0.3333 0.6667 0.8644
0.6667 0.3333 0.1356

=====

CdIn3, optimized geometry, DFT PBEsol; E_form = 0.045 eV per atom; total DFT energy (no corrections) = -2.49 eV per atom
1.0
5.2628 0.0000 0.0000
0.0000 5.2628 0.0000
0.0000 0.0000 3.5542
Cd In
1 3
direct
0.0000 0.0000 0.0000
0.0000 0.5000 0.5000
0.5000 0.0000 0.5000
0.5000 0.5000 0.0000

=====

CdIn3, optimized geometry, DFT PBEsol; E_form = 0.035 eV per atom; total DFT energy (no corrections) = -2.50 eV per atom
1.0
5.3043 0.0000 0.0000
0.0000 6.9658 0.0000
0.0000 0.0000 5.3045
Cd In
2 6
direct
0.2500 0.2500 0.1827
0.7500 0.7500 0.8173
0.2500 0.0035 0.6784
0.2500 0.4965 0.6784
0.2500 0.7500 0.1716
0.7500 0.2500 0.8284
0.7500 0.5035 0.3216
0.7500 0.9965 0.3216